Entry from Alexandria via LeMat-Bulk: a relaxed structure of Y2NiHPt (PBE-GGA).

```
5
Lattice="4.8743 0.0000 0.0000 0.0000 4.8743 0.0000 0.0000 0.0000 3.5373" Properties=species:S:1:pos:R:3 pbc="T T T"
Y 0.0000 2.4372 0.0000
Y 2.4372 0.0000 0.0000
Ni 0.0000 0.0000 1.7687
H 0.0000 0.0000 0.0000
Pt 2.4372 2.4372 1.7687
```

Values from the calculation:
* crystal system: tetragonal
* total energy: -31.9 eV/cell
* spin magnetization: 0.0 μB/f.u.
* distance to the lowest polymorph of the same formula: 0.000 eV per atom
* DOS(E_F): 0.383 states/eV per atom
* symmetry: P4/mmm, No. 123


Entry from Alexandria via LeMat-Bulk: a relaxed structure of La2YAlH (PBE-GGA).

```
5
Lattice="4.8770 0.0000 0.0000 0.0000 4.8770 0.0000 0.0000 0.0000 5.0027" Properties=species:S:1:pos:R:3 pbc="T T T"
La 0.0000 2.4385 0.0000
La 2.4385 0.0000 0.0000
Y 0.0000 0.0000 2.5013
Al 2.4385 2.4385 2.5013
H 2.4385 2.4385 0.0000
```

Values from the calculation:
* crystal system: tetragonal
* total energy: -24.5 eV/cell
* spin magnetization: 0.0 μB/f.u.
* distance to the lowest polymorph of the same formula: 0.060 eV per atom
* DOS(E_F): 1.077 states/eV per atom
* symmetry: P4/mmm, No. 123